[1]
An optimized crystal structure of CeAsP. Source: the Alexandria database, functional PBE.

a = 4.0017 Å, b = 4.0017 Å, c = 9.2188 Å
α = 108.96°, β = 108.96°, γ = 91.46°
With the nearest neighbours (Å) after each atom.
Sites, in units of the cell vectors:
As 0.5000 0.0000 0.0000  4 As 2.79-2.87, 4 Ce 3.01-3.05
P 0.1988 0.1988 0.6125  1 P 2.22
P 0.8012 0.8012 0.3876  1 P 2.22
Ce 0.2065 0.2065 0.2783  5 P 2.87-3.10, 4 As 3.01-3.05
Ce 0.7935 0.7935 0.7217  5 P 2.87-3.10, 4 As 3.01-3.05
As 0.0000 0.5000 0.0000  4 As 2.79-2.87, 4 Ce 3.01-3.05

Calculated values
The uncorrected energy comes out at -6.35 eV/atom. For the formation energy, the calculation gives -1.022 eV per atom. Its offset from the most stable computed form is 0.000 eV/atom.


[2]
An optimized crystal structure of Be2AgSb. Source: the Alexandria database, functional PBE.

a = 4.6828 Å, b = 4.6828 Å, c = 3.0363 Å
α = 90.00°, β = 90.00°, γ = 107.73°
With the nearest neighbours (Å) after each atom.
Sites, in units of the cell vectors:
Be 0.0000 0.0000 0.0000  4 Be 2.76-3.04, 4 Sb 2.79, 4 Ag 2.79
Be 0.5000 0.5000 0.0000  4 Be 2.76-3.04, 4 Ag 2.79, 4 Sb 2.79
Sb 0.5000 0.0000 0.5000  2 Ag 2.76, 8 Be 2.79, 2 Sb 3.04
Ag 0.0000 0.5000 0.5000  2 Sb 2.76, 8 Be 2.79, 2 Ag 3.04

Calculated values
The uncorrected energy comes out at -3.05 eV/atom.


[3]
An optimized crystal structure of Pu2InGa4Au3. Source: the Alexandria database, functional PBE.

a = 4.3370 Å, b = 4.3370 Å, c = 11.2357 Å
α = 90.00°, β = 90.00°, γ = 90.00°
With the nearest neighbours (Å) after each atom.
Sites, in units of the cell vectors:
Pu 0.5000 0.0000 0.2444  8 Ga 3.30-3.50, 6 Au 3.32-3.60, 2 In 3.60
Ga 0.5000 0.5000 0.0000  4 Au 2.62
Ga 0.0000 0.0000 0.0000  4 Au 2.62
In 0.5000 0.5000 0.5000  4 Ga 2.73
Au 0.0000 0.0000 0.5000  4 Ga 2.73
Pu 0.0000 0.5000 0.7556  8 Ga 3.30-3.50, 6 Au 3.32-3.60, 2 In 3.60
Au 0.5000 0.0000 0.8697  5 Ga 2.50-2.62
Ga 0.0000 0.5000 0.3527  3 Au 2.50-2.73, 2 In 2.73
Au 0.0000 0.5000 0.1303  5 Ga 2.50-2.62
Ga 0.5000 0.0000 0.6473  3 Au 2.50-2.73, 2 In 2.73

Calculated values
The uncorrected energy comes out at -5.70 eV/atom. For the formation energy, the calculation gives -0.362 eV per atom.


[4]
An optimized crystal structure of DyHo2ScSe6. Source: the Alexandria database, functional PBE.

a = 7.0842 Å, b = 7.0841 Å, c = 7.5891 Å
α = 62.17°, β = 62.17°, γ = 59.99°
With the nearest neighbours (Å) after each atom.
Sites, in units of the cell vectors:
Sc 0.3221 0.3220 0.0338  6 Se 2.72-2.76
Se 0.9347 0.5943 0.2504  1 Sc 2.72, 2 Ho 2.84-2.90, 1 Dy 2.90
Ho 0.0134 0.0134 0.9599  6 Se 2.82-2.90
Dy 0.8189 0.8189 0.5433  6 Se 2.82-2.90
Ho 0.5159 0.5159 0.4524  6 Se 2.84-2.89
Se 0.1119 0.4179 0.7582  1 Sc 2.76, 2 Ho 2.82-2.89, 1 Dy 2.82
Se 0.5943 0.2206 0.2504  1 Sc 2.72, 2 Ho 2.84-2.90, 1 Dy 2.90
Se 0.7121 0.1119 0.7582  1 Sc 2.76, 2 Ho 2.82-2.89, 1 Dy 2.82
Se 0.2206 0.9347 0.2504  1 Sc 2.72, 2 Ho 2.84-2.89, 1 Dy 2.90
Se 0.4178 0.7121 0.7582  1 Sc 2.76, 2 Ho 2.82-2.89, 1 Dy 2.82

Calculated values
The uncorrected energy comes out at -5.90 eV/atom.


[5]
An optimized crystal structure of Pm2Tm3Pd2. Source: the Alexandria database, functional PBE.

a = 3.7115 Å, b = 9.9158 Å, c = 6.5626 Å
α = 57.32°, β = 73.54°, γ = 89.90°
With the nearest neighbours (Å) after each atom.
Sites, in units of the cell vectors:
Tm 0.0000 0.0000 0.0000  4 Pd 2.90
Pm 0.3839 0.6197 0.2287  1 Pd 2.94
Pd 0.3599 0.0701 0.2801  5 Tm 2.88-2.90, 1 Pm 2.94, 2 Pd 2.95
Tm 0.1633 0.7249 0.6753  3 Pd 2.88
Pd 0.6401 0.9299 0.7199  5 Tm 2.88-2.90, 1 Pm 2.94, 2 Pd 2.95
Pm 0.6161 0.3803 0.7713  1 Pd 2.94
Tm 0.8367 0.2751 0.3247  3 Pd 2.88

Calculated values
The uncorrected energy comes out at -5.15 eV/atom. For the formation energy, the calculation gives -0.391 eV per atom. Its offset from the most stable computed form is 0.147 eV/atom.


[6]
An optimized crystal structure of LaAsBr2. Source: the Alexandria database, functional PBE.

a = 3.7896 Å, b = 3.7896 Å, c = 7.6653 Å
α = 90.00°, β = 90.00°, γ = 90.00°
With the nearest neighbours (Å) after each atom.
Sites, in units of the cell vectors:
La 0.5000 0.5000 0.2500  8 Br 3.13
Br 0.0000 0.0000 0.0386  4 La 3.13, 1 Br 3.24, 4 As 3.47
As 0.5000 0.5000 0.7500  8 Br 3.47, 4 As 3.79, 2 La 3.83
Br 0.0000 0.0000 0.4614  4 La 3.13, 1 Br 3.24, 4 As 3.47

Calculated values
The uncorrected energy comes out at -3.98 eV/atom. Its offset from the most stable computed form is 0.523 eV/atom.


[7]
An optimized crystal structure of Li2TiSe3. Source: the Alexandria database, functional PBE.

a = 6.5050 Å, b = 6.6702 Å, c = 6.5098 Å
α = 80.57°, β = 60.02°, γ = 70.85°
With the nearest neighbours (Å) after each atom.
Sites, in units of the cell vectors:
Se 0.5700 0.2352 0.3511  2 Ti 2.57-2.58, 4 Li 2.68-2.79
Se 0.2722 0.2356 0.0000  2 Ti 2.60, 4 Li 2.65-2.74
Se 0.7278 0.7644 0.0000  2 Ti 2.60, 4 Li 2.65-2.74
Se 0.0789 0.7648 0.3511  2 Ti 2.57-2.58, 4 Li 2.68-2.79
Li 0.1620 0.5000 0.6760  6 Se 2.68-2.79
Li 0.5000 0.5000 0.0000  6 Se 2.65-2.78
Li 0.8380 0.5000 0.3240  6 Se 2.68-2.79
Ti 0.3317 0.0000 0.3366  6 Se 2.57-2.60
Se 0.4300 0.7648 0.6489  2 Ti 2.57-2.58, 4 Li 2.68-2.79
Se 0.9211 0.2352 0.6489  2 Ti 2.57-2.58, 4 Li 2.68-2.79
Ti 0.6683 0.0000 0.6634  6 Se 2.57-2.60
Li 0.0000 0.0000 0.0000  6 Se 2.72-2.73

Calculated values
The uncorrected energy comes out at -4.87 eV/atom. Its offset from the most stable computed form is 0.000 eV/atom.


[8]
An optimized crystal structure of Zn2TeW. Source: the Alexandria database, functional PBE.

a = 3.0090 Å, b = 3.0090 Å, c = 9.0122 Å
α = 90.00°, β = 90.00°, γ = 110.39°
With the nearest neighbours (Å) after each atom.
Sites, in units of the cell vectors:
Zn 0.0000 0.0000 0.9937  2 Zn 2.61, 2 W 2.66
Zn 0.5000 0.5000 0.2112  2 Zn 2.61
W 0.5000 0.5000 0.7684  2 Zn 2.66, 2 Te 2.77
Te 0.0000 0.0000 0.5267  2 W 2.77, 4 Te 3.01

Calculated values
The uncorrected energy comes out at -4.09 eV/atom.


Number 1: M_tot 0.17 μB/atom. Number 2: M_tot 0.00 μB/atom. Number 3: M_tot 1.12 μB/atom. Number 4: M_tot 0.00 μB/atom. Number 5: M_tot 0.00 μB/atom. Number 6: M_tot 0.11 μB/atom. Number 7: M_tot 0.00 μB/atom. Number 8: M_tot 0.00 μB/atom.